# 1
YMgFe2 | GGA-PBEsol | optimized geometry

a b c (Å): 3.243 4.490 9.451
angles (deg): 90.00 90.00 90.00
Fractional positions:
Y1 0.000 0.000 0.000
Y2 0.500 0.500 0.500
Mg1 0.000 0.500 0.217
Mg2 0.500 0.000 0.717
Fe1 0.000 0.000 0.450
Fe2 0.000 0.500 0.780
Fe3 0.500 0.000 0.280
Fe4 0.500 0.500 0.950

The value obtained for the electronic total energy is -6.408 eV per atom. The volume comes out at 17.2 A^3/atom. The formation enthalpy at 0 K comes out at 209 meV/atom. The magnetization comes out at 3.65 μB per formula unit.



# 2
Cd3TcSb | GGA-PBEsol | optimized geometry

a b c (Å): 5.125 5.125 5.125
angles (deg): 90.00 90.00 90.00
Fractional positions:
Cd1 0.000 0.000 0.500
Cd2 0.000 0.500 0.000
Cd3 0.500 0.000 0.000
Tc1 0.000 0.000 0.000
Sb1 0.500 0.500 0.500

The energy above the most stable polymorph in this dataset comes out at 0 meV per atom. The value obtained for the electronic total energy is -2.859 eV per atom. The volume comes out at 26.9 A^3/atom. For the formation energy without anion corrections, the calculation gives 1.02 eV per atom. The magnetization comes out at 2.06 μB per formula unit.



# 3
MnAsRh | GGA-PBEsol | optimized geometry

a b c (Å): 6.400 6.400 3.576
angles (deg): 90.00 90.00 120.00
Fractional positions:
Mn1 0.000 0.402 0.000
Mn2 0.402 0.000 0.000
Mn3 0.598 0.598 0.000
As1 0.000 0.000 0.000
As2 0.333 0.667 0.500
As3 0.667 0.333 0.500
Rh1 0.000 0.737 0.500
Rh2 0.263 0.263 0.500
Rh3 0.737 0.000 0.500

The value obtained for the electronic total energy is -7.977 eV per atom. The volume comes out at 14.1 A^3/atom. The formation enthalpy at 0 K comes out at -308 meV/atom. The magnetization comes out at 3.17 μB per formula unit.